ZnRuAu2 | SCAN | PBEsol geometry

```
4
Lattice="0.000 3.125 3.125 3.125 0.000 3.125 3.125 3.125 0.000" Properties=species:S:1:pos:R:3 pbc="T T T"
Zn 0.000 0.000 0.000
Ru 4.688 4.688 4.688
Au 1.563 1.563 1.563
Au 3.125 3.125 3.125
```

ΔE_f   0.209 eV per atom